# FeCoAuO2, optimized geometry, DFT PBE with a Hubbard U
# **V**: 77.2 Å³/cell
# **Fermi-level density of states**: 0.5022 states/eV/atom
# **E_tot**: -4.68 eV/atom
data_FeCoAuO2
_chemical_formula_sum 'Fe1 Co1 Au1 O2'
_cell_length_a 3.674
_cell_length_b 3.674
_cell_length_c 5.718
_cell_angle_alpha 90.00
_cell_angle_beta 90.00
_cell_angle_gamma 90.00
_symmetry_space_group_name_H-M 'P 4/m m m'
_symmetry_Int_Tables_number 123
_symmetry_space_group_name_Hall '-P 4 2'
loop_
_atom_site_label
_atom_site_fract_x
_atom_site_fract_y
_atom_site_fract_z
Fe1 0.000 0.000 0.000
Co1 0.000 0.000 0.500
Au1 0.500 0.500 0.500
O1 0.000 0.500 0.000